[1]
The following is a DFT calculation (PBE) of an optimized crystal structure of MgTiIn2B.

The structure in CIF format:
```
data_MgTiIn2B
_symmetry_space_group_name_H-M 'P 1'
_symmetry_Int_Tables_number 1
_symmetry_space_group_name_Hall 'P 1'
_cell_length_a 4.7142
_cell_length_b 4.7142
_cell_length_c 4.4030
_cell_angle_alpha 90.00
_cell_angle_beta 90.00
_cell_angle_gamma 90.00
loop_
_atom_site_label
_atom_site_fract_x
_atom_site_fract_y
_atom_site_fract_z
Mg1 0.0000 0.0000 0.0000
Ti1 0.5000 0.5000 0.0000
In1 0.0000 0.5000 0.5000
In2 0.5000 0.0000 0.5000
B1 0.5000 0.5000 0.5000
```

Symmetry: P4/mmm
Formation energy from the elements, eV per atom: 0.30
Electronic total energy, eV/atom: -4.0249

[2]
The following is a DFT calculation (PBE) of an optimized crystal structure of LaZrVP2.

The structure in CIF format:
```
data_LaZrVP2
_symmetry_space_group_name_H-M 'P 1'
_symmetry_Int_Tables_number 1
_symmetry_space_group_name_Hall 'P 1'
_cell_length_a 5.0451
_cell_length_b 5.0451
_cell_length_c 4.6800
_cell_angle_alpha 90.00
_cell_angle_beta 90.00
_cell_angle_gamma 90.00
loop_
_atom_site_label
_atom_site_fract_x
_atom_site_fract_y
_atom_site_fract_z
La1 0.0000 0.0000 0.0000
Zr1 0.5000 0.5000 0.5000
V1 0.5000 0.5000 0.0000
P1 0.0000 0.5000 0.5000
P2 0.5000 0.0000 0.5000
```

Symmetry: P4/mmm
Formation energy from the elements, eV per atom: 0.01
Electronic total energy, eV/atom: -6.6696